(1)
Compound: MgNbCl
Source: the Alexandria database
Functional: GGA-PBE
Structure: optimized geometry

It has space group P1 (No. 1), with a = 3.228 Å, b = 3.229 Å, c = 13.908 Å, α = 87.42°, β = 86.45° and γ = 64.70°. Symmetry generates all atoms from Mg at (0.000, 0.000, 0.000), Mg at (0.386, 0.450, 0.497), Nb at (0.046, 0.086, 0.320), Nb at (0.579, 0.600, 0.177), Cl at (0.010, 0.088, 0.607) and Cl at (0.674, 0.660, 0.890).

The value obtained for the size of the total moment is 0.000 μB per cell. The formation energy (no corrections) is -0.613 eV/atom. Its density of states at the Fermi level is 1.2 states/eV/f.u.



(2)
Compound: Ba2Pm3Se6
Source: the Alexandria database
Functional: GGA-PBE
Structure: optimized geometry

It has space group C2/m (No. 12), with a = 7.445 Å, b = 12.881 Å, c = 7.978 Å, α = 90.00°, β = 108.03° and γ = 90.00°. Symmetry generates all atoms from Ba at (0.000, 0.167, 0.000), Pm at (0.000, 0.000, 0.500), Pm at (0.000, 0.335, 0.500), Se at (0.238, 0.167, 0.717) and Se at (0.241, 0.500, 0.720).

The value obtained for the size of the total moment is 0.000 μB per cell. The formation energy (no corrections) is -1.944 eV/atom. Its density of states at the Fermi level is 3.8 states/eV/f.u.



(3)
Compound: Pm5Pr12Sm
Source: the Alexandria database
Functional: GGA-PBE
Structure: optimized geometry

It has space group C2/m (No. 12), with a = 12.216 Å, b = 17.479 Å, c = 5.991 Å, α = 90.00°, β = 90.00° and γ = 90.00°. Symmetry generates all atoms from Pm at (0.000, 0.000, 0.000), Pm at (0.000, 0.138, 0.500), Pm at (0.000, 0.362, 0.000), Pr at (0.152, 0.178, 0.009), Pr at (0.152, 0.322, 0.491), Pr at (0.198, 0.000, 0.441), Pr at (0.198, 0.500, 0.059) and Sm at (0.000, 0.500, 0.500).

The value obtained for the size of the total moment is 0.000 μB per cell. The value obtained for the formation enthalpy at 0 K is 0.075 eV per atom. Its density of states at the Fermi level is 26.7 states/eV/f.u.



(4)
Compound: NaCrCl3
Source: the Alexandria database
Functional: GGA-PBE
Structure: optimized geometry

It has space group Pm-3m (No. 221), with a = 4.919 Å, b = 4.919 Å, c = 4.919 Å, α = 90.00°, β = 90.00° and γ = 90.00°. Symmetry generates all atoms from Na at (0.000, 0.000, 0.000), Cr at (0.500, 0.500, 0.500) and Cl at (0.000, 0.500, 0.500).

The value obtained for the size of the total moment is 4.000 μB per cell. The formation energy (no corrections) is -1.201 eV/atom. Its density of states at the Fermi level is 0.8 states/eV/f.u.